# 1
Compound: ZrHgSb2
Source: Alexandria via LeMat-Bulk
Functional: PBE
Structure: relaxed

a b c (Å): 6.935 7.013 3.906
angles (deg): 90.00 90.13 90.00
Element x y z (fractional)
Zr 0.000 0.000 0.000
Zr 0.500 0.500 0.000
Hg 0.000 0.500 0.000
Hg 0.500 0.000 0.000
Sb 0.250 0.250 0.500
Sb 0.250 0.750 0.500
Sb 0.750 0.250 0.500
Sb 0.750 0.750 0.500

Output
As for the spin magnetization: 0.00 μB/atom. The calculation puts the final energy at -17.55 eV/f.u. For the uncorrected formation energy, the calculation gives -0.113 eV/atom.

---

# 2
Compound: ZnOs2W
Source: Alexandria via LeMat-Bulk
Functional: PBE
Structure: relaxed

a b c (Å): 2.763 2.763 27.057
angles (deg): 90.00 90.00 120.00
Element x y z (fractional)
Zn 0.000 0.000 0.000
Zn 0.333 0.667 0.667
Zn 0.667 0.333 0.333
Os 0.000 0.000 0.496
Os 0.000 0.000 0.749
Os 0.333 0.667 0.162
Os 0.333 0.667 0.416
Os 0.667 0.333 0.083
Os 0.667 0.333 0.829
W 0.000 0.000 0.246
W 0.333 0.667 0.913
W 0.667 0.333 0.580

Output
As for the spin magnetization: 0.00 μB/atom. The calculation puts the final energy at -35.82 eV/f.u. Its formation energy from the elements is 0.216 eV per atom.